1.
# TmMgGa5

TmMgGa5 after structural relaxation (PBE-GGA, Alexandria).

## Properties
Energy of formation ... -0.229 eV per atom
M_tot ... 0.000 μB/f.u.

The structure in POSCAR format:
```
TmMgGa5
1.0
4.0507 0.0000 0.0000
0.0000 4.0507 0.0000
0.0000 0.0000 8.7663
Tm Mg Ga
1 1 5
Direct
0.0000 0.0000 0.0000 Tm
0.5000 0.5000 0.5000 Mg
0.0000 0.5000 0.2597 Ga
0.0000 0.5000 0.7403 Ga
0.5000 0.0000 0.2597 Ga
0.5000 0.0000 0.7403 Ga
0.5000 0.5000 0.0000 Ga
```

2.
# Ce4CoOsCl2

Ce4CoOsCl2 after structural relaxation (PBE-GGA, Alexandria).

## Properties
M_tot ... 2.918 μB/f.u.
Energy relative to the elements, uncorrected ... -81 kJ/mol of atoms

The structure in POSCAR format:
```
Ce4CoOsCl2
1.0
6.8555 0.0000 0.0000
0.0000 3.9765 0.0000
-2.3177 0.0000 7.3754
Ce Co Os Cl
4 1 1 2
Direct
0.2272 0.0000 0.2001 Ce
0.2613 0.5000 0.7924 Ce
0.7387 0.5000 0.2076 Ce
0.7728 0.0000 0.7999 Ce
0.0000 0.5000 0.0000 Co
0.5000 0.0000 0.0000 Os
0.0000 0.0000 0.5000 Cl
0.5000 0.5000 0.5000 Cl
```

3.
# BaOs2Se

BaOs2Se after structural relaxation (PBE-GGA, Alexandria).

## Properties
M_tot ... 0.005 μB/f.u.
Energy relative to the elements, uncorrected ... 120 kJ/mol of atoms

The structure in POSCAR format:
```
BaOs2Se
1.0
6.8961 0.0000 0.0000
0.0000 6.8961 0.0000
0.0000 0.0000 6.8961
Ba Os Se
4 8 4
Direct
0.0000 0.0000 0.0000 Ba
0.0000 0.5000 0.5000 Ba
0.5000 0.0000 0.5000 Ba
0.5000 0.5000 0.0000 Ba
0.0000 0.0000 0.5000 Os
0.0000 0.5000 0.0000 Os
0.2500 0.2500 0.7500 Os
0.2500 0.7500 0.2500 Os
0.5000 0.0000 0.0000 Os
0.5000 0.5000 0.5000 Os
0.7500 0.2500 0.2500 Os
0.7500 0.7500 0.7500 Os
0.2500 0.2500 0.2500 Se
0.2500 0.7500 0.7500 Se
0.7500 0.2500 0.7500 Se
0.7500 0.7500 0.2500 Se
```

4.
# NpU2P2

NpU2P2 after structural relaxation (PBE-GGA, Alexandria).

## Properties
Energy of formation ... -0.564 eV per atom
M_tot ... 0.000 μB/f.u.

The structure in POSCAR format:
```
NpU2P2
1.0
6.4982 -2.5713 0.0000
6.4982 2.5713 0.0000
-3.7172 0.0000 6.0730
Np U P
2 4 4
Direct
0.2364 0.7636 0.7500 Np
0.7636 0.2364 0.2500 Np
0.0098 0.2267 0.7128 U
0.2267 0.0098 0.2128 U
0.7733 0.9902 0.7872 U
0.9902 0.7733 0.2872 U
0.2575 0.4821 0.9423 P
0.4821 0.2575 0.4423 P
0.5179 0.7425 0.5577 P
0.7425 0.5179 0.0577 P
```